# Cs2In5Hg3

A geometry-optimized Cs2In5Hg3 structure (PBE-GGA, the Alexandria database).

Geometry as CIF:
```
data_Cs2In5Hg3
_chemical_formula_sum 'Cs2 In5 Hg3'
_symmetry_space_group_name_H-M 'P -4 m 2'
_symmetry_Int_Tables_number 115
_cell_length_a 5.197
_cell_length_b 5.197
_cell_length_c 12.595
_cell_angle_alpha 90.00
_cell_angle_beta 90.00
_cell_angle_gamma 90.00
loop_
_symmetry_equiv_pos_as_xyz
'x,y,z'
'y,-x,-z'
'-x,-y,z'
'-y,x,-z'
'-x,y,z'
'-y,-x,-z'
'x,-y,z'
'y,x,-z'
loop_
_atom_site_label
_atom_site_fract_x
_atom_site_fract_y
_atom_site_fract_z
Cs1 0.000 0.500 0.244
In1 0.000 0.000 0.500
In2 0.000 0.500 0.630
In3 0.500 0.500 0.000
In4 0.500 0.500 0.500
Hg1 0.000 0.000 0.000
Hg2 0.000 0.500 0.869
```

## Properties
Fermi-level density of states: 5.2 states/eV per cell
energy above the lowest structure with this stoichiometry: 0.000 eV/atom
formation energy: -0.133 eV/atom